Entry 1:
Below is crystalline ThAlPt at its relaxed geometry, with properties calculated at the GGA-PBEsol level.

Results
Volume = 187.18 Å³ per cell
Calculated density = 12.09 g/cm3
Formation enthalpy at 0 K = -3.20 eV/f.u.
VASP energy = -7.454 eV per atom

```
data_ThAlPt
_chemical_formula_sum 'Th3 Al3 Pt3'
_space_group_name_H-M_alt 'P -6 2 m'
_space_group_IT_number 189
_space_group_name_Hall 'P -6 -2'
_cell_length_a 7.2115
_cell_length_b 7.2115
_cell_length_c 4.1560
_cell_angle_alpha 90.00
_cell_angle_beta 90.00
_cell_angle_gamma 120.00
loop_
_atom_site_label
_atom_site_type_symbol
_atom_site_fract_x
_atom_site_fract_y
_atom_site_fract_z
Th1 Th 0.0000 0.5798 0.0000
Al1 Al 0.0000 0.2337 0.5000
Pt1 Pt 0.0000 0.0000 0.0000
Pt2 Pt 0.3333 0.6667 0.5000
```



Entry 2:
Below is crystalline Mn2IrRh at its relaxed geometry, with properties calculated at the GGA-PBEsol level.

Results
Volume = 104.80 Å³ per cell
Calculated density = 12.83 g/cm3
Formation enthalpy at 0 K = 0.33 eV/f.u.
VASP energy = -9.288 eV per atom

```
data_Mn2IrRh
_chemical_formula_sum 'Mn4 Ir2 Rh2'
_space_group_name_H-M_alt 'I m m 2'
_space_group_IT_number 44
_cell_length_a 2.866
_cell_length_b 4.222
_cell_length_c 8.659
_cell_angle_alpha 90.00
_cell_angle_beta 90.00
_cell_angle_gamma 90.00
loop_
_space_group_symop_operation_xyz
'x,y,z'
'-x,-y,z'
'-x,y,z'
'x,-y,z'
'x+1/2,y+1/2,z+1/2'
'-x+1/2,-y+1/2,z+1/2'
'-x+1/2,y+1/2,z+1/2'
'x+1/2,-y+1/2,z+1/2'
loop_
_atom_site_label
_atom_site_type_symbol
_atom_site_fract_x
_atom_site_fract_y
_atom_site_fract_z
Mn1 Mn 0.000 0.000 0.000
Mn2 Mn 0.000 0.500 0.257
Ir1 Ir 0.000 0.500 0.742
Rh1 Rh 0.000 0.000 0.511
```



Entry 3:
Below is crystalline Mn2TlRh at its relaxed geometry, with properties calculated at the GGA-PBEsol level.

Results
Volume = 247.95 Å³ per cell
E above lowest polymorph = 27 meV per atom
Calculated density = 11.18 g/cm3
Formation enthalpy at 0 K = 1.33 eV/f.u.
VASP energy = -7.240 eV per atom

```
data_Mn2TlRh
_chemical_formula_sum 'Mn8 Tl4 Rh4'
_space_group_name_H-M_alt 'F m -3 m'
_space_group_IT_number 225
_space_group_name_Hall '-F 4 2 3'
_cell_length_a 6.282
_cell_length_b 6.282
_cell_length_c 6.282
_cell_angle_alpha 90.00
_cell_angle_beta 90.00
_cell_angle_gamma 90.00
loop_
_atom_site_label
_atom_site_type_symbol
_atom_site_fract_x
_atom_site_fract_y
_atom_site_fract_z
Mn1 Mn 0.250 0.250 0.250
Tl1 Tl 0.000 0.000 0.000
Rh1 Rh 0.000 0.000 0.500
```